# LiSn2As2, relaxed, DFT PBE
data_LiSn2As2
_space_group_name_H-M_alt 'P 1'
_space_group_IT_number 1
_cell_length_a 7.694
_cell_length_b 7.694
_cell_length_c 3.907
_cell_angle_alpha 90.00
_cell_angle_beta 90.00
_cell_angle_gamma 90.00
loop_
_space_group_symop_operation_xyz
'x,y,z'
loop_
_atom_site_label
_atom_site_fract_x
_atom_site_fract_y
_atom_site_fract_z
Li1 0.000 0.000 0.000
Li2 0.500 0.500 0.000
Sn1 0.150 0.350 0.500
Sn2 0.350 0.850 0.500
Sn3 0.650 0.150 0.500
Sn4 0.850 0.650 0.500
As1 0.159 0.659 0.000
As2 0.341 0.159 0.000
As3 0.659 0.841 0.000
As4 0.841 0.341 0.000
# * calculated total energy: -3.927 eV per atom
# * magnetization: 0.0 μB/f.u.
# * formation energy from the elements: -8.0 kJ per mole of atoms
# * ρ: 5.7 g/cm³
# * N(E_F): 2.0 states/eV/f.u.
# * energy relative to the lowest polymorph listed for this composition: 169 meV per atom

***

# BaSr2Zn, relaxed, DFT PBE
data_BaSr2Zn
_space_group_name_H-M_alt 'P 1'
_space_group_IT_number 1
_cell_length_a 7.187
_cell_length_b 7.187
_cell_length_c 7.187
_cell_angle_alpha 135.88
_cell_angle_beta 135.88
_cell_angle_gamma 64.17
loop_
_space_group_symop_operation_xyz
'x,y,z'
loop_
_atom_site_label
_atom_site_fract_x
_atom_site_fract_y
_atom_site_fract_z
Ba1 0.000 0.000 0.000
Sr1 0.250 0.750 0.500
Sr2 0.750 0.250 0.500
Zn1 0.500 0.500 0.000
# * calculated total energy: -1.512 eV per atom
# * magnetization: 0.0 μB/f.u.
# * formation energy from the elements: 12.4 kJ per mole of atoms
# * ρ: 3.5 g/cm³
# * N(E_F): 5.2 states/eV/f.u.

***

# CeEuAu4, relaxed, DFT PBE
data_CeEuAu4
_space_group_name_H-M_alt 'P 1'
_space_group_IT_number 1
_cell_length_a 5.766
_cell_length_b 5.766
_cell_length_c 5.766
_cell_angle_alpha 60.00
_cell_angle_beta 60.00
_cell_angle_gamma 60.00
loop_
_space_group_symop_operation_xyz
'x,y,z'
loop_
_atom_site_label
_atom_site_fract_x
_atom_site_fract_y
_atom_site_fract_z
Ce1 0.000 0.000 0.000
Eu1 0.250 0.250 0.250
Au1 0.126 0.625 0.625
Au2 0.625 0.126 0.625
Au3 0.625 0.625 0.126
Au4 0.625 0.625 0.625
# * calculated total energy: -5.385 eV per atom
# * magnetization: 8.6 μB/f.u.
# * formation energy from the elements: -48.1 kJ per mole of atoms
# * ρ: 13.2 g/cm³
# * N(E_F): 11.0 states/eV/f.u.

***

# Tb8Hg2Ir3, relaxed, DFT PBE
data_Tb8Hg2Ir3
_space_group_name_H-M_alt 'P 1'
_space_group_IT_number 1
_cell_length_a 8.704
_cell_length_b 8.704
_cell_length_c 4.951
_cell_angle_alpha 90.00
_cell_angle_beta 90.00
_cell_angle_gamma 110.22
loop_
_space_group_symop_operation_xyz
'x,y,z'
loop_
_atom_site_label
_atom_site_fract_x
_atom_site_fract_y
_atom_site_fract_z
Tb1 0.114 0.886 0.000
Tb2 0.139 0.368 0.500
Tb3 0.368 0.139 0.500
Tb4 0.384 0.616 0.000
Tb5 0.616 0.384 0.000
Tb6 0.632 0.861 0.500
Tb7 0.861 0.632 0.500
Tb8 0.886 0.114 0.000
Hg1 0.243 0.757 0.500
Hg2 0.757 0.243 0.500
Ir1 0.245 0.245 0.000
Ir2 0.500 0.500 0.500
Ir3 0.755 0.755 0.000
# * calculated total energy: -5.456 eV per atom
# * magnetization: 0.0 μB/f.u.
# * formation energy from the elements: -49.7 kJ per mole of atoms
# * ρ: 10.6 g/cm³
# * N(E_F): 13.5 states/eV/f.u.

***

# NaTl7Pb5, relaxed, DFT PBE
data_NaTl7Pb5
_space_group_name_H-M_alt 'P 1'
_space_group_IT_number 1
_cell_length_a 8.630
_cell_length_b 8.630
_cell_length_c 6.528
_cell_angle_alpha 110.99
_cell_angle_beta 110.99
_cell_angle_gamma 83.82
loop_
_space_group_symop_operation_xyz
'x,y,z'
loop_
_atom_site_label
_atom_site_fract_x
_atom_site_fract_y
_atom_site_fract_z
Na1 0.000 0.000 0.000
Tl1 0.168 0.827 0.507
Tl2 0.236 0.236 0.706
Tl3 0.356 0.356 0.295
Tl4 0.356 0.647 0.885
Tl5 0.647 0.356 0.885
Tl6 0.649 0.649 0.596
Tl7 0.827 0.168 0.507
Pb1 0.020 0.553 0.947
Pb2 0.445 0.979 0.373
Pb3 0.553 0.020 0.947
Pb4 0.761 0.761 0.227
Pb5 0.979 0.445 0.373
# * calculated total energy: -2.769 eV per atom
# * magnetization: 0.0 μB/f.u.
# * formation energy from the elements: 3.2 kJ per mole of atoms
# * ρ: 9.8 g/cm³
# * N(E_F): 5.9 states/eV/f.u.

***

# Pm6Si2S3Cl, relaxed, DFT PBE
data_Pm6Si2S3Cl
_space_group_name_H-M_alt 'P 1'
_space_group_IT_number 1
_cell_length_a 9.207
_cell_length_b 9.207
_cell_length_c 8.310
_cell_angle_alpha 102.29
_cell_angle_beta 102.29
_cell_angle_gamma 25.79
loop_
_space_group_symop_operation_xyz
'x,y,z'
loop_
_atom_site_label
_atom_site_fract_x
_atom_site_fract_y
_atom_site_fract_z
Pm1 0.003 0.003 0.274
Pm2 0.326 0.326 0.906
Pm3 0.333 0.333 0.416
Pm4 0.667 0.667 0.584
Pm5 0.674 0.674 0.094
Pm6 0.997 0.997 0.726
Si1 0.166 0.166 0.332
Si2 0.834 0.834 0.668
S1 0.163 0.163 0.838
S2 0.500 0.500 0.500
S3 0.837 0.837 0.162
Cl1 0.500 0.500 0.000
# * formation energy (no corrections): -1.5384 eV/atom
# * calculated total energy: -6.003 eV per atom
# * magnetization: 0.0 μB/f.u.
# * ρ: 5.9 g/cm³
# * N(E_F): 3.8 states/eV/f.u.

***

# AcPm2Rh3, relaxed, DFT PBE
data_AcPm2Rh3
_space_group_name_H-M_alt 'P 1'
_space_group_IT_number 1
_cell_length_a 3.573
_cell_length_b 3.573
_cell_length_c 10.807
_cell_angle_alpha 90.00
_cell_angle_beta 90.00
_cell_angle_gamma 90.00
loop_
_space_group_symop_operation_xyz
'x,y,z'
loop_
_atom_site_label
_atom_site_fract_x
_atom_site_fract_y
_atom_site_fract_z
Ac1 0.000 0.000 0.000
Pm1 0.000 0.000 0.338
Pm2 0.000 0.000 0.662
Rh1 0.500 0.500 0.185
Rh2 0.500 0.500 0.500
Rh3 0.500 0.500 0.815
# * calculated total energy: -6.561 eV per atom
# * magnetization: 0.0 μB/f.u.
# * formation energy from the elements: -59.6 kJ per mole of atoms
# * ρ: 9.9 g/cm³
# * N(E_F): 5.1 states/eV/f.u.

***

# K2SnHgI6, relaxed, DFT PBE
data_K2SnHgI6
_space_group_name_H-M_alt 'P 1'
_space_group_IT_number 1
_cell_length_a 9.508
_cell_length_b 9.508
_cell_length_c 9.508
_cell_angle_alpha 52.77
_cell_angle_beta 52.77
_cell_angle_gamma 52.77
loop_
_space_group_symop_operation_xyz
'x,y,z'
loop_
_atom_site_label
_atom_site_fract_x
_atom_site_fract_y
_atom_site_fract_z
K1 0.000 0.000 0.000
K2 0.481 0.481 0.481
Sn1 0.783 0.783 0.783
Hg1 0.228 0.228 0.228
I1 0.044 0.675 0.445
I2 0.181 0.571 0.921
I3 0.445 0.044 0.675
I4 0.571 0.921 0.181
I5 0.675 0.445 0.044
I6 0.921 0.181 0.571
# * formation energy (no corrections): -0.8106 eV/atom
# * calculated total energy: -2.391 eV per atom
# * magnetization: 0.0 μB/f.u.
# * ρ: 3.8 g/cm³
# * N(E_F): 0.0 states/eV/f.u.